(1)
A plane-wave DFT calculation with PBE-GGA was carried out for Nb3AgTe5 after structural relaxation.

Lattice parameters (Å, degrees): 5.8994 5.8994 8.3103 90.00 90.00 120.00
Atoms (fractional coordinates):
Te1 0.6667 0.3333 0.2242
Te2 0.6667 0.3333 0.7758
Te3 0.0000 0.0000 0.5000
Te4 0.3333 0.6667 0.2242
Te5 0.3333 0.6667 0.7758
Nb1 0.5000 0.0000 0.5000
Nb2 0.5000 0.5000 0.5000
Nb3 0.0000 0.5000 0.5000
Ag1 0.0000 0.0000 0.0000

=====

(2)
A plane-wave DFT calculation with PBE-GGA was carried out for Sc2Sb3Mo4N3 after structural relaxation.

Lattice parameters (Å, degrees): 5.7477 5.7477 13.2058 102.19 102.19 60.57
Atoms (fractional coordinates):
Mo1 0.8733 0.6958 0.5781
Mo2 0.1267 0.3042 0.4219
Mo3 0.8241 0.9593 0.4221
Mo4 0.1759 0.0407 0.5779
Mo5 0.9593 0.8241 0.9221
Mo6 0.3042 0.1267 0.9219
Mo7 0.6958 0.8733 0.0781
Mo8 0.0407 0.1759 0.0779
N1 0.0000 0.5000 0.0000
N2 0.5000 0.0000 0.5000
N3 0.1803 0.6600 0.4998
N4 0.8197 0.3400 0.5002
N5 0.6600 0.1803 0.9998
N6 0.3400 0.8197 0.0002
Sc1 0.5285 0.3550 0.5905
Sc2 0.3550 0.5285 0.0905
Sc3 0.4715 0.6450 0.4095
Sc4 0.6450 0.4715 0.9095
Sb1 0.7738 0.5779 0.2477
Sb2 0.9327 0.0673 0.7500
Sb3 0.2262 0.4221 0.7523
Sb4 0.5779 0.7738 0.7477
Sb5 0.0673 0.9327 0.2500
Sb6 0.4221 0.2262 0.2523

=====

(3)
A plane-wave DFT calculation with PBE-GGA was carried out for ThMoPb after structural relaxation.

Lattice parameters (Å, degrees): 4.9451 4.9451 4.9451 60.00 60.00 60.00
Atoms (fractional coordinates):
Th1 0.0000 0.0000 0.0000
Pb1 0.2500 0.2500 0.2500
Mo1 0.5000 0.5000 0.5000

=====

no.,calculated density (kg/m3),VASP energy (eV/cell)
1,6793,-49.92
2,7941,-197.61
3,10393,-19.37